Here is ThCdCu10 after structural relaxation from Alexandria via LeMat-Bulk. Energies are from PBE.

```
ThCdCu10
1.0
-0.1646 -1.0558 -3.9892
4.3810 -2.4077 0.4565
-4.2021 -7.2494 2.0920
Cu Cd Th
10 1 1
Cartesian
2.1671 -4.1508 -1.1285 Cu
-1.4467 -2.4959 0.7202 Cu
-2.1833 -4.1526 -0.9486 Cu
2.1082 -1.7317 -1.7664 Cu
-2.1527 -6.5621 -0.3122 Cu
0.0635 -7.7800 -0.0812 Cu
-1.2422 -7.1260 1.9372 Cu
-0.0491 -2.9329 -1.3595 Cu
1.4212 -2.5312 0.6113 Cu
-2.7554 -4.7536 1.3718 Cu
0.0895 -4.8286 1.2743 Cd
0.0000 0.0000 0.0000 Th
```

Summary:
Total DFT energy (no corrections)   -4.153 eV per atom
Magnetic moment   0.00 Bohr magnetons per cell
Symmetry   Pmmm, No. 47

Here is Mg2Pd2Rh after structural relaxation from Alexandria via LeMat-Bulk. Energies are from PBE.

```
Mg2Pd2Rh
1.0
3.8825 0.0000 0.0000
0.0000 3.8825 0.0000
1.9412 1.9412 5.8776
Mg Pd Rh
2 2 1
Cartesian
3.8825 1.9412 2.9388 Mg
1.9412 3.8825 2.9388 Mg
1.9412 1.9412 1.2444 Pd
3.8825 3.8825 4.6332 Pd
0.0000 0.0000 0.0000 Rh
```

Summary:
Total DFT energy (no corrections)   -4.048 eV per atom
Magnetic moment   0.76 Bohr magnetons per cell
Symmetry   I4/mmm, No. 139

Here is HfNbAl2 after structural relaxation from Alexandria via LeMat-Bulk. Energies are from PBE.

```
HfNbAl2
1.0
3.5267 0.0000 0.0000
0.0000 3.5267 0.0000
0.0000 0.0000 5.7594
Al Hf Nb
2 1 1
Cartesian
0.0000 0.0000 4.4166 Al
0.0000 0.0000 1.3429 Al
1.7634 1.7634 2.8797 Hf
1.7634 1.7634 0.0000 Nb
```

Summary:
Total DFT energy (no corrections)   -7.095 eV per atom
Magnetic moment   0.00 Bohr magnetons per cell
Symmetry   P4/mmm, No. 123

Here is LaPm5Pr6 after structural relaxation from Alexandria via LeMat-Bulk. Energies are from PBE.

```
LaPm5Pr6
1.0
-2.8891 -4.3513 -0.1936
-3.0077 2.4374 -9.7049
9.0651 -2.9609 2.0489
Pm Pr La
5 6 1
Cartesian
2.5648 -1.3870 -6.7816 Pm
-1.5039 1.2187 -4.8524 Pm
4.0702 -2.6070 -1.9301 Pm
-0.9019 -2.2678 -5.9195 Pm
0.6035 -3.4878 -1.0680 Pm
3.3811 -5.3937 0.3865 Pr
-3.6947 -0.3522 -7.3577 Pr
-0.2128 0.5189 -8.2361 Pr
6.8630 -4.5226 -0.4919 Pr
1.2852 -0.6947 -3.4033 Pr
1.8832 -4.1801 -4.4463 Pr
0.0000 0.0000 0.0000 La
```

Summary:
Total DFT energy (no corrections)   -4.767 eV per atom
Magnetic moment   0.00 Bohr magnetons per cell
Symmetry   P-1, No. 2

Here is Mn2SiMo after structural relaxation from Alexandria via LeMat-Bulk. Energies are from PBE.

```
Mn2SiMo
1.0
-0.6251 -1.4050 3.7852
1.5413 -2.0997 -0.5249
4.3665 1.5025 1.2788
Si Mn Mo
1 2 1
Cartesian
4.3197 -1.3747 2.4081 Si
1.0498 -0.8705 2.0552 Mn
1.4788 -1.9606 -0.4835 Mn
2.9297 -0.1948 0.4115 Mo
```

Summary:
Magnetic moment   0.02 Bohr magnetons per cell
Symmetry   Pm, No. 6
Formation energy from raw total energies   -0.098 eV per atom

Here is NiRuPt after structural relaxation from Alexandria via LeMat-Bulk. Energies are from PBE.

```
NiRuPt
1.0
-1.9429 -1.1881 -5.4198
0.5401 -2.2537 -5.4027
-1.0626 -2.4719 0.2492
Ru Pt Ni
1 1 1
Cartesian
-1.2865 -3.1101 -7.0356 Ru
-1.1769 -2.7978 -3.4707 Pt
-1.0646 -2.4777 0.1822 Ni
```

Summary:
Total DFT energy (no corrections)   -7.015 eV per atom
Magnetic moment   0.00 Bohr magnetons per cell
Symmetry   I4mm, No. 107

Here is Sc2CdTe after structural relaxation from Alexandria via LeMat-Bulk. Energies are from PBE.

```
Sc2CdTe
1.0
-2.3598 -1.5674 2.6863
1.4891 -1.4733 3.2945
-0.9849 5.7857 5.3369
Cd Sc Te
1 2 1
Cartesian
-0.4639 0.6863 2.8294 Cd
-0.9335 1.4308 5.6860 Sc
-0.9791 5.7275 5.3097 Sc
-1.3917 2.0588 8.4883 Te
```

Summary:
Magnetic moment   0.00 Bohr magnetons per cell
Symmetry   C2/m, No. 12
Formation energy from raw total energies   -0.578 eV per atom

Here is Ho5ZnPd2 after structural relaxation from Alexandria via LeMat-Bulk. Energies are from PBE.

```
Ho5ZnPd2
1.0
7.0065 0.0000 -3.3074
-1.5613 6.8303 -3.3074
-0.2432 -0.3051 8.5598
Pd Ho Zn
4 10 2
Cartesian
1.2143 5.9176 -4.0772 Pd
4.2309 0.9128 -2.5377 Pd
5.0809 4.3279 -4.9612 Pd
0.3643 2.5024 -1.6537 Pd
2.3628 4.5354 2.0906 Ho
4.0298 6.6264 -3.4531 Ho
0.8057 5.4050 -1.2080 Ho
6.0633 3.2112 -2.3908 Ho
4.3963 1.1202 3.1529 Ho
1.1722 -0.1011 5.3980 Ho
2.7226 3.4152 -3.3074 Ho
2.8392 1.9899 -0.1457 Ho
0.0000 0.0000 0.0000 Ho
-0.8613 3.3140 4.3357 Ho
1.2397 1.5550 2.6262 Zn
3.9623 4.9702 -0.6813 Zn
```

Summary:
Total DFT energy (no corrections)   -4.849 eV per atom
Magnetic moment   0.00 Bohr magnetons per cell
Symmetry   I4/mcm, No. 140

magnetic moment of number 8 (Ho5ZnPd2)?
0.00 Bohr magnetons per cell